(1)
# Ac3Sn2 (PBE-GGA, relaxed)
# * E above lowest polymorph: 0 meV per atom
# * density of states at the Fermi level: 0.786 states/eV per atom
# * theoretical density: 8.1 g/cm³
# * symmetry: Immm (71)
# * total energy: -4.657 eV per atom
data_Ac3Sn2
_chemical_formula_sum 'Ac3 Sn2'
_cell_length_a 5.0855
_cell_length_b 6.7119
_cell_length_c 6.7119
_cell_angle_alpha 66.76
_cell_angle_beta 67.74
_cell_angle_gamma 67.74
_space_group_name_H-M_alt 'P 1'
_space_group_IT_number 1
loop_
_space_group_symop_operation_xyz
'x,y,z'
loop_
_atom_site_label
_atom_site_fract_x
_atom_site_fract_y
_atom_site_fract_z
_atom_site_occupancy
Ac1 0.8002 0.6998 0.6998 1
Sn1 0.5000 0.7052 0.2948 1
Sn2 0.5000 0.2948 0.7052 1
Ac2 0.0000 0.0000 0.0000 1
Ac3 0.1998 0.3002 0.3002 1

(2)
# AcPr2Mg (PBE-GGA, relaxed)
# * E above lowest polymorph: 104 meV per atom
# * density of states at the Fermi level: 1.156 states/eV per atom
# * theoretical density: 6.1 g/cm³
# * symmetry: R3m (160)
# * total energy: -3.757 eV per atom
data_AcPr2Mg
_chemical_formula_sum 'Ac1 Pr2 Mg1'
_cell_length_a 3.7749
_cell_length_b 3.7749
_cell_length_c 11.9131
_cell_angle_alpha 80.88
_cell_angle_beta 80.88
_cell_angle_gamma 60.00
_space_group_name_H-M_alt 'P 1'
_space_group_IT_number 1
loop_
_space_group_symop_operation_xyz
'x,y,z'
loop_
_atom_site_label
_atom_site_fract_x
_atom_site_fract_y
_atom_site_fract_z
_atom_site_occupancy
Ac1 0.4998 0.4998 0.5005 1
Pr1 0.0757 0.0757 0.7729 1
Mg1 0.6666 0.6666 0.0001 1
Pr2 0.2578 0.2578 0.2265 1

(3)
# TbSm2Y (PBE-GGA, relaxed)
# * E above lowest polymorph: 2 meV per atom
# * density of states at the Fermi level: 1.278 states/eV per atom
# * theoretical density: 6.9 g/cm³
# * symmetry: R-3m (166)
# * total energy: -5.120 eV per atom
data_TbSm2Y
_chemical_formula_sum 'Tb1 Sm2 Y1'
_cell_length_a 3.5989
_cell_length_b 3.5989
_cell_length_c 11.8879
_cell_angle_alpha 81.29
_cell_angle_beta 81.29
_cell_angle_gamma 60.00
_space_group_name_H-M_alt 'P 1'
_space_group_IT_number 1
loop_
_space_group_symop_operation_xyz
'x,y,z'
loop_
_atom_site_label
_atom_site_fract_x
_atom_site_fract_y
_atom_site_fract_z
_atom_site_occupancy
Sm1 0.2501 0.2501 0.2496 1
Tb1 0.0000 0.0000 0.0000 1
Y1 0.5000 0.5000 0.5000 1
Sm2 0.7499 0.7499 0.7504 1

(4)
# Mg4Pt3 (PBE-GGA, relaxed)
# * E above lowest polymorph: 184 meV per atom
# * density of states at the Fermi level: 0.309 states/eV per atom
# * theoretical density: 9.4 g/cm³
# * symmetry: I4/mmm (139)
# * total energy: -4.092 eV per atom
data_Mg4Pt3
_chemical_formula_sum 'Mg4 Pt3'
_cell_length_a 10.4619
_cell_length_b 10.4619
_cell_length_c 10.4619
_cell_angle_alpha 161.07
_cell_angle_beta 161.07
_cell_angle_gamma 26.90
_space_group_name_H-M_alt 'P 1'
_space_group_IT_number 1
loop_
_space_group_symop_operation_xyz
'x,y,z'
loop_
_atom_site_label
_atom_site_fract_x
_atom_site_fract_y
_atom_site_fract_z
_atom_site_occupancy
Mg1 0.5687 0.5687 0.0000 1
Mg2 0.8451 0.8451 0.0000 1
Pt1 0.7070 0.7070 0.0000 1
Mg3 0.1549 0.1549 0.0000 1
Pt2 0.2930 0.2930 0.0000 1
Mg4 0.4313 0.4313 0.0000 1
Pt3 0.0000 0.0000 0.0000 1

(5)
# Pa2Ni3Ge4Au (PBE-GGA, relaxed)
# * density of states at the Fermi level: 0.670 states/eV per atom
# * theoretical density: 11.0 g/cm³
# * symmetry: P-4m2 (115)
# * total energy: -6.321 eV per atom
data_Pa2Ni3Ge4Au
_chemical_formula_sum 'Pa2 Ni3 Ge4 Au1'
_cell_length_a 4.1954
_cell_length_b 4.1954
_cell_length_c 9.6701
_cell_angle_alpha 90.00
_cell_angle_beta 90.00
_cell_angle_gamma 90.00
_space_group_name_H-M_alt 'P 1'
_space_group_IT_number 1
loop_
_space_group_symop_operation_xyz
'x,y,z'
loop_
_atom_site_label
_atom_site_fract_x
_atom_site_fract_y
_atom_site_fract_z
_atom_site_occupancy
Ge1 0.0000 0.0000 0.0000 1
Ni1 0.0000 0.0000 0.5000 1
Pa1 0.5000 0.0000 0.2418 1
Ge2 0.0000 0.5000 0.3526 1
Ni2 0.5000 0.0000 0.8845 1
Ni3 0.0000 0.5000 0.1155 1
Ge3 0.5000 0.5000 0.0000 1
Pa2 0.0000 0.5000 0.7582 1
Au1 0.5000 0.5000 0.5000 1
Ge4 0.5000 0.0000 0.6474 1

(6)
# MnTl2Sb (PBE-GGA, relaxed)
# * E above lowest polymorph: 175 meV per atom
# * density of states at the Fermi level: 0.517 states/eV per atom
# * raw formation energy: 0.346 eV/atom
# * theoretical density: 9.4 g/cm³
# * symmetry: I-4m2 (119)
# * total energy: -4.161 eV per atom
data_MnTl2Sb
_chemical_formula_sum 'Mn1 Tl2 Sb1'
_cell_length_a 5.6108
_cell_length_b 5.6108
_cell_length_c 5.6108
_cell_angle_alpha 129.07
_cell_angle_beta 129.07
_cell_angle_gamma 74.89
_space_group_name_H-M_alt 'P 1'
_space_group_IT_number 1
loop_
_space_group_symop_operation_xyz
'x,y,z'
loop_
_atom_site_label
_atom_site_fract_x
_atom_site_fract_y
_atom_site_fract_z
_atom_site_occupancy
Sb1 0.7500 0.2500 0.5000 1
Tl1 0.0000 0.0000 0.0000 1
Tl2 0.2500 0.7500 0.5000 1
Mn1 0.5000 0.5000 0.0000 1